Compound: TbSi2Pd8
Source: Alexandria
Functional: GGA-PBE
Structure: relaxed

Cell lengths 5.861, 5.861, 5.777 Å; angles 90.00, 90.00, 90.00 degrees
Space group P4/mmm (No. 123)
Inequivalent atoms, fractional coordinates:
Tb (0.000, 0.000, 0.000) (multiplicity 1)
Si (0.000, 0.500, 0.500) (multiplicity 2)
Pd (0.269, 0.269, 0.261) (multiplicity 8)

Computed properties:
* ΔE_f (raw): -0.391 eV per atom
* calculated volume: 18.04 Å³ per atom
* magnetic moment: 0.00 Bohr magnetons per cell
* energy: -5.57 eV/atom